# 1
# Ta2TcTe, relaxed, DFT PBE
# E_form (uncorrected) ... 23.44 kJ/mol of atoms
# Magnetic moment ... 0.00 μB per formula unit
# Calculated total energy ... -9.060 eV/atom
data_Ta2TcTe
_space_group_name_H-M_alt 'I -4 m 2'
_space_group_IT_number 119
_space_group_name_Hall 'I -4 -2'
_cell_length_a 3.9344
_cell_length_b 3.9344
_cell_length_c 9.2552
_cell_angle_alpha 90.00
_cell_angle_beta 90.00
_cell_angle_gamma 90.00
loop_
_atom_site_label
_atom_site_type_symbol
_atom_site_fract_x
_atom_site_fract_y
_atom_site_fract_z
Ta1 Ta 0.0000 0.0000 0.0000
Ta2 Ta 0.0000 0.5000 0.2500
Tc1 Tc 0.0000 0.5000 0.7500
Te1 Te 0.0000 0.0000 0.5000

# 2
# Ta2TcTe, relaxed, DFT PBE
# E_form (uncorrected) ... 23.20 kJ/mol of atoms
# Magnetic moment ... 0.00 μB per formula unit
# Calculated total energy ... -9.063 eV/atom
data_Ta2TcTe
_space_group_name_H-M_alt 'R -3 m'
_space_group_IT_number 166
_space_group_name_Hall '-R 3 2"'
_cell_length_a 3.2867
_cell_length_b 3.2867
_cell_length_c 24.6159
_cell_angle_alpha 90.00
_cell_angle_beta 90.00
_cell_angle_gamma 120.00
loop_
_atom_site_label
_atom_site_type_symbol
_atom_site_fract_x
_atom_site_fract_y
_atom_site_fract_z
Ta1 Ta 0.0000 0.0000 0.2419
Tc1 Tc 0.0000 0.0000 0.5000
Te1 Te 0.0000 0.0000 0.0000

# 3
# Ta2TcTe, relaxed, DFT PBE
# E_form (uncorrected) ... 7.71 kJ/mol of atoms
# Magnetic moment ... 0.00 μB per formula unit
# Calculated total energy ... -9.223 eV/atom
data_Ta2TcTe
_space_group_name_H-M_alt 'P 4 m m'
_space_group_IT_number 99
_space_group_name_Hall 'P 4 -2'
_cell_length_a 3.3268
_cell_length_b 3.3268
_cell_length_c 6.6575
_cell_angle_alpha 90.00
_cell_angle_beta 90.00
_cell_angle_gamma 90.00
loop_
_atom_site_label
_atom_site_type_symbol
_atom_site_fract_x
_atom_site_fract_y
_atom_site_fract_z
Ta1 Ta 0.0000 0.0000 0.0000
Ta2 Ta 0.5000 0.5000 0.2718
Tc1 Tc 0.0000 0.0000 0.4749
Te1 Te 0.5000 0.5000 0.7606

# 4
# TaTcTe, relaxed, DFT PBE
# Relative energy among the computed polymorphs ... 0 meV per atom
# E_form (uncorrected) ... -6.44 kJ/mol of atoms
# Magnetic moment ... 0.00 μB per formula unit
# Calculated total energy ... -8.520 eV/atom
data_TaTcTe
_space_group_name_H-M_alt 'F -4 3 m'
_space_group_IT_number 216
_space_group_name_Hall 'F -4 2 3'
_cell_length_a 6.2295
_cell_length_b 6.2295
_cell_length_c 6.2295
_cell_angle_alpha 90.00
_cell_angle_beta 90.00
_cell_angle_gamma 90.00
loop_
_atom_site_label
_atom_site_type_symbol
_atom_site_fract_x
_atom_site_fract_y
_atom_site_fract_z
Ta1 Ta 0.0000 0.0000 0.0000
Tc1 Tc 0.2500 0.2500 0.2500
Te1 Te 0.0000 0.0000 0.5000

# 5
# Ta2TcTe, relaxed, DFT PBE
# E_form (uncorrected) ... 17.34 kJ/mol of atoms
# Magnetic moment ... 0.00 μB per formula unit
# Calculated total energy ... -9.124 eV/atom
data_Ta2TcTe
_space_group_name_H-M_alt 'P 1 2/m 1'
_space_group_IT_number 10
_space_group_name_Hall '-P 2y'
_cell_length_a 3.2024
_cell_length_b 4.1365
_cell_length_c 5.5491
_cell_angle_alpha 90.00
_cell_angle_beta 96.48
_cell_angle_gamma 90.00
loop_
_atom_site_label
_atom_site_type_symbol
_atom_site_fract_x
_atom_site_fract_y
_atom_site_fract_z
Ta1 Ta 0.0617 0.0000 0.2671
Tc1 Tc 0.5000 0.5000 0.5000
Te1 Te 0.5000 0.5000 0.0000

# 6
# TaTcTe2, relaxed, DFT PBE
# Relative energy among the computed polymorphs ... 202 meV per atom
# E_form (uncorrected) ... 5.33 kJ/mol of atoms
# Magnetic moment ... 0.00 μB per formula unit
# Calculated total energy ... -7.070 eV/atom
data_TaTcTe2
_space_group_name_H-M_alt 'R 3 m'
_space_group_IT_number 160
_space_group_name_Hall 'R 3 -2"'
_cell_length_a 3.3055
_cell_length_b 3.3055
_cell_length_c 30.8234
_cell_angle_alpha 90.00
_cell_angle_beta 90.00
_cell_angle_gamma 120.00
loop_
_atom_site_label
_atom_site_type_symbol
_atom_site_fract_x
_atom_site_fract_y
_atom_site_fract_z
Ta1 Ta 0.0000 0.0000 0.0000
Tc1 Tc 0.0000 0.0000 0.2751
Te1 Te 0.0000 0.0000 0.5387
Te2 Te 0.0000 0.0000 0.7378